Density functional theory data (PBE) for crystalline TaSi at its relaxed geometry.

Unit cell a=3.508 b=4.319 c=8.631 alpha=90.00 beta=90.00 gamma=90.00
Positions (direct):
1 Ta 0.000 0.250 0.139
2 Ta 0.000 0.750 0.861
3 Ta 0.500 0.250 0.861
4 Ta 0.500 0.750 0.139
5 Si 0.000 0.250 0.627
6 Si 0.000 0.750 0.373
7 Si 0.500 0.250 0.373
8 Si 0.500 0.750 0.627

## Properties
ΔE_f (raw): 80 meV per atom
E: -68.5 eV/cell